Entry 1:
Entry from Alexandria via LeMat-Bulk: a relaxed structure of Eu2TlPt (PBE).

Unit cell a=3.6445 b=3.6445 c=8.2115 alpha=90.00 beta=90.00 gamma=90.00
Last column: nearest neighbours and their distance in Å.
Space group P4/mmm (No. 123)
Unique sites:
Eu 0.0000 0.0000 0.2115 x2  4 Pt 3.11, 1 Eu 3.47
Tl 0.5000 0.5000 0.5000 x1  8 Eu 3.50, 4 Tl 3.64
Pt 0.5000 0.5000 0.0000 x1  8 Eu 3.11

Output
- Volume: 27.27 A^3/atom
- Final energy: -7.90 eV per atom
- Energy above the lowest structure with this stoichiometry: 0.00 eV/f.u.
- DOS(E_F): 4.2313 states/eV per atom
- Total magnetization: 14.18 μB per cell
- Calculated density: 10.71 g/cm³
- Formation energy from the elements: -0.6583 eV per atom

Entry 2:
Entry from Alexandria via LeMat-Bulk: a relaxed structure of Eu2TlPt (PBE).

Unit cell a=7.5289 b=7.5289 c=7.5289 alpha=90.00 beta=90.00 gamma=90.00
Last column: nearest neighbours and their distance in Å.
Space group Fm-3m (No. 225)
Unique sites:
Eu 0.2500 0.2500 0.2500 x8  4 Tl 3.26, 4 Pt 3.26
Tl 0.0000 0.0000 0.0000 x4  8 Eu 3.26
Pt 0.0000 0.0000 0.5000 x4  8 Eu 3.26

Output
- Volume: 26.67 A^3/atom
- Final energy: -7.80 eV per atom
- Energy above the lowest structure with this stoichiometry: 0.38 eV/f.u.
- DOS(E_F): 4.1462 states/eV per atom
- Total magnetization: 56.12 μB per cell
- Calculated density: 10.95 g/cm³
- Formation energy from the elements: -0.5622 eV per atom

Entry 3:
Entry from Alexandria via LeMat-Bulk: a relaxed structure of Eu2TmPt (PBE).

Unit cell a=3.7847 b=3.7847 c=32.1528 alpha=90.00 beta=90.00 gamma=120.00
Last column: nearest neighbours and their distance in Å.
Space group R-3m (No. 166, hexagonal axes)
Unique sites:
Eu 0.0000 0.0000 0.1078 x6  3 Pt 2.89
Tm 0.0000 0.0000 0.0000 x3  2 Eu 3.46, 6 Tm 3.78
Pt 0.0000 0.0000 0.5000 x3  6 Eu 2.89

Output
- Volume: 33.24 A^3/atom
- Final energy: -7.94 eV per atom
- DOS(E_F): 3.4516 states/eV per atom
- Total magnetization: 44.09 μB per cell
- Calculated density: 8.34 g/cm³
- Formation energy from the elements: -0.1739 eV per atom

Entry 4:
Entry from Alexandria via LeMat-Bulk: a relaxed structure of EuTm2Pt (PBE).

Unit cell a=3.5227 b=3.5227 c=9.0008 alpha=90.00 beta=90.00 gamma=90.00
Last column: nearest neighbours and their distance in Å.
Space group P4/mmm (No. 123)
Unique sites:
Eu 0.0000 0.0000 0.0000 x1  4 Eu 3.52, 8 Tm 3.82
Tm 0.5000 0.5000 0.3211 x2  4 Pt 2.97, 1 Tm 3.22
Pt 0.0000 0.0000 0.5000 x1  8 Tm 2.97

Output
- Volume: 27.92 A^3/atom
- Final energy: -6.92 eV per atom
- Energy above the lowest structure with this stoichiometry: 0.00 eV/f.u.
- DOS(E_F): 1.0168 states/eV per atom
- Total magnetization: 8.12 μB per cell
- Calculated density: 10.18 g/cm³
- Formation energy from the elements: -0.6040 eV per atom

Entry 5:
Entry from Alexandria via LeMat-Bulk: a relaxed structure of EuTm3Pt (PBE).

Unit cell a=5.4612 b=5.4612 c=5.4612 alpha=90.00 beta=90.00 gamma=90.00
Last column: nearest neighbours and their distance in Å.
Space group Pm-3m (No. 221)
Unique sites:
Eu 0.0000 0.0000 0.0000 x1  12 Tm 3.86
Tm 0.0000 0.5000 0.5000 x3  2 Pt 2.73
Pt 0.5000 0.5000 0.5000 x1  6 Tm 2.73

Output
- Volume: 32.58 A^3/atom
- Final energy: -6.39 eV per atom
- DOS(E_F): 1.2052 states/eV per atom
- Total magnetization: 7.46 μB per cell
- Calculated density: 8.70 g/cm³
- Formation energy from the elements: -0.4421 eV per atom

Entry 6:
Entry from Alexandria via LeMat-Bulk: a relaxed structure of EuTmPt4 (PBE).

Unit cell a=7.7168 b=7.7168 c=7.7168 alpha=90.00 beta=90.00 gamma=90.00
Last column: nearest neighbours and their distance in Å.
Space group F-43m (No. 216)
Unique sites:
Eu 0.0000 0.0000 0.0000 x4  12 Pt 3.20, 4 Tm 3.34
Tm 0.2500 0.2500 0.2500 x4  12 Pt 3.20, 4 Eu 3.34
Pt 0.1248 0.1248 0.6248 x16  6 Pt 2.72-2.73

Output
- Volume: 19.15 A^3/atom
- Final energy: -7.52 eV per atom
- DOS(E_F): 2.1568 states/eV per atom
- Total magnetization: 26.82 μB per cell
- Calculated density: 15.92 g/cm³
- Formation energy from the elements: -1.0304 eV per atom

Entry 7:
Entry from Alexandria via LeMat-Bulk: a relaxed structure of EuTm2Pt (PBE).

Unit cell a=4.0564 b=4.0564 c=27.6817 alpha=90.00 beta=90.00 gamma=120.00
Last column: nearest neighbours and their distance in Å.
Space group R-3m (No. 166, hexagonal axes)
Unique sites:
Eu 0.0000 0.0000 0.0000 x3  6 Tm 3.92, 6 Eu 4.06
Tm 0.0000 0.0000 0.2196 x6  3 Pt 2.76
Pt 0.0000 0.0000 0.5000 x3  6 Tm 2.76

Output
- Volume: 32.87 A^3/atom
- Final energy: -6.89 eV per atom
- Energy above the lowest structure with this stoichiometry: 0.10 eV/f.u.
- DOS(E_F): 0.9914 states/eV per atom
- Total magnetization: 23.62 μB per cell
- Calculated density: 8.65 g/cm³
- Formation energy from the elements: -0.5780 eV per atom

Entry 8:
Entry from Alexandria via LeMat-Bulk: a relaxed structure of EuUPt2 (PBE).

Unit cell a=3.4992 b=3.4992 c=7.3858 alpha=90.00 beta=90.00 gamma=90.00
Last column: nearest neighbours and their distance in Å.
Space group P4/mmm (No. 123)
Unique sites:
Eu 0.0000 0.0000 0.0000 x1  8 Pt 3.25, 4 Eu 3.50
U 0.0000 0.0000 0.5000 x1  8 Pt 2.94
Pt 0.5000 0.5000 0.2848 x2  4 U 2.94, 1 Pt 3.18, 4 Eu 3.25

Output
- Volume: 22.61 A^3/atom
- Final energy: -9.14 eV per atom
- Energy above the lowest structure with this stoichiometry: 0.00 eV/f.u.
- DOS(E_F): 2.1751 states/eV per atom
- Total magnetization: 9.22 μB per cell
- Calculated density: 14.33 g/cm³
- Formation energy from the elements: -0.7325 eV per atom

Entry 9:
Entry from Alexandria via LeMat-Bulk: a relaxed structure of EuUPt4 (PBE).

Unit cell a=7.7303 b=7.7303 c=7.7303 alpha=90.00 beta=90.00 gamma=90.00
Last column: nearest neighbours and their distance in Å.
Space group F-43m (No. 216)
Unique sites:
Eu 0.0000 0.0000 0.0000 x4  12 Pt 3.20, 4 U 3.35
U 0.2500 0.2500 0.2500 x4  12 Pt 3.20, 4 Eu 3.35
Pt 0.1250 0.1250 0.6250 x16  6 Pt 2.73

Output
- Volume: 19.25 A^3/atom
- Final energy: -8.40 eV per atom
- DOS(E_F): 1.4956 states/eV per atom
- Total magnetization: 37.45 μB per cell
- Calculated density: 16.83 g/cm³
- Formation energy from the elements: -0.7767 eV per atom

Entry 10:
Entry from Alexandria via LeMat-Bulk: a relaxed structure of EuUPt2 (PBE).

Unit cell a=4.0390 b=4.0390 c=21.1942 alpha=90.00 beta=90.00 gamma=120.00
Last column: nearest neighbours and their distance in Å.
Space group R-3m (No. 166, hexagonal axes)
Unique sites:
Eu 0.0000 0.0000 0.0000 x3  6 Pt 3.06
U 0.0000 0.0000 0.5000 x3  6 Pt 2.80
Pt 0.0000 0.0000 0.2401 x6  3 U 2.80, 3 Eu 3.06

Output
- Volume: 24.95 A^3/atom
- Final energy: -9.13 eV per atom
- Energy above the lowest structure with this stoichiometry: 0.04 eV/f.u.
- DOS(E_F): 2.9593 states/eV per atom
- Total magnetization: 26.50 μB per cell
- Calculated density: 12.98 g/cm³
- Formation energy from the elements: -0.7225 eV per atom

Entry 11:
Entry from Alexandria via LeMat-Bulk: a relaxed structure of EuYPt2 (PBE).

Unit cell a=4.1407 b=4.1407 c=20.3971 alpha=90.00 beta=90.00 gamma=120.00
Last column: nearest neighbours and their distance in Å.
Space group R-3m (No. 166, hexagonal axes)
Unique sites:
Eu 0.0000 0.0000 0.0000 x3  6 Pt 3.00
Y 0.0000 0.0000 0.5000 x3  6 Pt 2.87
Pt 0.0000 0.0000 0.2447 x6  3 Y 2.87, 3 Eu 3.00

Output
- Volume: 25.24 A^3/atom
- Final energy: -8.15 eV per atom
- DOS(E_F): 3.1020 states/eV per atom
- Total magnetization: 20.90 μB per cell
- Calculated density: 10.38 g/cm³
- Formation energy from the elements: -0.9497 eV per atom

Entry 12:
Entry from Alexandria via LeMat-Bulk: a relaxed structure of EuYPt2 (PBE).

Unit cell a=3.5284 b=3.5284 c=7.1862 alpha=90.00 beta=90.00 gamma=90.00
Last column: nearest neighbours and their distance in Å.
Space group P4/mmm (No. 123)
Unique sites:
Eu 0.0000 0.0000 0.0000 x1  8 Pt 3.18, 4 Eu 3.53
Y 0.0000 0.0000 0.5000 x1  8 Pt 2.98
Pt 0.5000 0.5000 0.2741 x2  4 Y 2.98, 4 Eu 3.18, 1 Pt 3.25

Output
- Volume: 22.37 A^3/atom
- Final energy: -8.29 eV per atom
- DOS(E_F): 2.7048 states/eV per atom
- Total magnetization: 7.05 μB per cell
- Calculated density: 11.71 g/cm³
- Formation energy from the elements: -1.0814 eV per atom

Entry 13:
Entry from Alexandria via LeMat-Bulk: a relaxed structure of EuYZnPt (PBE).

Unit cell a=7.1631 b=7.1631 c=7.1631 alpha=90.00 beta=90.00 gamma=90.00
Last column: nearest neighbours and their distance in Å.
Space group F-43m (No. 216)
Unique sites:
Eu 0.0000 0.0000 0.0000 x4  4 Pt 3.10, 4 Zn 3.10
Y 0.0000 0.0000 0.5000 x4  4 Pt 3.10, 4 Zn 3.10
Zn 0.2500 0.2500 0.7500 x4  4 Eu 3.10, 4 Y 3.10
Pt 0.2500 0.2500 0.2500 x4  4 Eu 3.10, 4 Y 3.10

Output
- Volume: 22.97 A^3/atom
- Final energy: -6.68 eV per atom
- DOS(E_F): 1.7284 states/eV per atom
- Total magnetization: 27.68 μB per cell
- Calculated density: 9.06 g/cm³
- Formation energy from the elements: -0.6651 eV per atom

Entry 14:
Entry from Alexandria via LeMat-Bulk: a relaxed structure of YbEuPt2 (PBE).

Unit cell a=7.0821 b=7.0821 c=7.0821 alpha=90.00 beta=90.00 gamma=90.00
Last column: nearest neighbours and their distance in Å.
Space group Fm-3m (No. 225)
Unique sites:
Yb 0.0000 0.0000 0.0000 x4  8 Pt 3.07
Eu 0.0000 0.0000 0.5000 x4  8 Pt 3.07
Pt 0.2500 0.2500 0.2500 x8  4 Yb 3.07, 4 Eu 3.07

Output
- Volume: 22.20 A^3/atom
- Final energy: -6.92 eV per atom
- DOS(E_F): 6.1155 states/eV per atom
- Total magnetization: 28.51 μB per cell
- Calculated density: 13.37 g/cm³
- Formation energy from the elements: -0.9507 eV per atom

Entry 15:
Entry from Alexandria via LeMat-Bulk: a relaxed structure of EuZn4Pt (PBE).

Unit cell a=7.4124 b=7.4124 c=7.4124 alpha=90.00 beta=90.00 gamma=90.00
Last column: nearest neighbours and their distance in Å.
Space group F-43m (No. 216)
Unique sites:
Eu 0.0000 0.0000 0.0000 x4  12 Zn 3.08, 4 Pt 3.21
Zn 0.1235 0.1235 0.6235 x16  6 Zn 2.59-2.65
Pt 0.2500 0.2500 0.2500 x4  12 Zn 3.07, 4 Eu 3.21

Output
- Volume: 16.97 A^3/atom
- Final energy: -3.94 eV per atom
- DOS(E_F): 0.5295 states/eV per atom
- Total magnetization: 28.03 μB per cell
- Calculated density: 9.93 g/cm³
- Formation energy from the elements: -0.3756 eV per atom